# 1
## Pr2CdFeO5 (PBE+U)

Data for Pr2CdFeO5 after structural relaxation.

E ... -6.673 eV per atom
Symmetry ... P4/mbm
Fermi-level density of states ... 4.2 states/eV/cell

Structure (POSCAR):
```
Pr2CdFeO5
1.0
6.7893 0.0000 0.0000
0.0000 6.7893 0.0000
0.0000 0.0000 5.8349
Pr Cd Fe O
4 2 2 10
direct
0.1728 0.3272 0.0000 Pr
0.3272 0.8272 0.0000 Pr
0.6728 0.1728 0.0000 Pr
0.8272 0.6728 0.0000 Pr
0.0000 0.0000 0.5000 Cd
0.5000 0.5000 0.5000 Cd
0.0000 0.5000 0.5000 Fe
0.5000 0.0000 0.5000 Fe
0.0000 0.0000 0.0000 O
0.1409 0.6409 0.2572 O
0.1409 0.6409 0.7428 O
0.3591 0.1409 0.2572 O
0.3591 0.1409 0.7428 O
0.5000 0.5000 0.0000 O
0.6409 0.8591 0.2572 O
0.6409 0.8591 0.7428 O
0.8591 0.3591 0.2572 O
0.8591 0.3591 0.7428 O
```



# 2
## HfFeO3 (PBE+U)

Data for HfFeO3 after structural relaxation.

E ... -8.686 eV per atom
Symmetry ... Pnma
Fermi-level density of states ... 0.0 states/eV/cell

Structure (POSCAR):
```
HfFeO3
1.0
5.3273 0.0000 0.0000
0.0000 8.9776 0.0000
0.0000 0.0000 4.9782
Hf Fe O
4 4 12
direct
0.0514 0.2500 0.0463 Hf
0.4486 0.7500 0.5463 Hf
0.5514 0.2500 0.4537 Hf
0.9486 0.7500 0.9537 Hf
0.0000 0.0000 0.5000 Fe
0.0000 0.5000 0.5000 Fe
0.5000 0.0000 0.0000 Fe
0.5000 0.5000 0.0000 Fe
0.1153 0.7500 0.3202 O
0.2181 0.6031 0.7983 O
0.2181 0.8969 0.7983 O
0.2819 0.1031 0.2983 O
0.2819 0.3969 0.2983 O
0.3847 0.2500 0.8202 O
0.6153 0.7500 0.1798 O
0.7181 0.6031 0.7017 O
0.7181 0.8969 0.7017 O
0.7819 0.1031 0.2017 O
0.7819 0.3969 0.2017 O
0.8847 0.2500 0.6798 O
```